Here is a relaxed structure of InTeAs2Pd from Alexandria. Energies are from GGA-PBE.

Cell lengths 4.847, 5.691, 4.847 Å; angles 90.00, 90.00, 90.00 degrees
Positions (direct):
As (0.000, 0.000, 0.500)
As (0.500, 0.000, 0.000)
Te (0.000, 0.500, 0.000)
Pd (0.000, 0.000, 0.000)
In (0.500, 0.500, 0.500)

Computed properties:
The symmetry is P4/mmm, No. 123. As for the magnetic moment: 0.01 μB per formula unit. Its raw formation energy is 0.3384 eV/atom. For the density of states at the Fermi level, the calculation gives 7.3 states/eV/cell. The crystal system is tetragonal.